# 1
11
Lattice="11.936 0.000 0.000 -5.968 5.289 -0.143 0.000 1.035 8.867" Properties=species:S:1:pos:R:3 comment="AsPt2I8, optimized geometry, DFT PBE" dft_energy_ev_per_atom=-2.620 volume_a3_per_cell=561.6 sg="C2/m, No. 12" pbc="T T T"
As 0.000 0.000 0.000
I -1.878 1.948 1.013
I 0.000 4.546 3.182
I 0.000 1.782 5.708
I 5.968 1.778 5.542
I 7.846 4.376 7.711
I 4.090 4.376 7.711
I 5.968 4.542 3.016
I 1.878 1.948 1.013
Pt 0.000 1.932 3.023
Pt 5.968 4.393 5.701

# 2
4
Lattice="8.442 0.092 0.004 7.028 4.678 -0.004 -7.711 -2.463 2.398" Properties=species:S:1:pos:R:3 comment="SiPSe2, optimized geometry, DFT PBE" relative_energy_mev_per_atom=278.4 dft_energy_ev_per_atom=-4.259 volume_a3_per_cell=93.1 sg="Imm2, No. 44" pbc="T T T"
P 4.474 2.592 1.197
Se 4.322 0.035 1.201
Se 15.457 4.766 0.000
Si 6.710 2.069 0.000

# 3
4
Lattice="3.645 0.000 0.000 1.822 3.157 0.000 1.822 1.052 9.609" Properties=species:S:1:pos:R:3 comment="Pm2EuN, optimized geometry, DFT PBE" dft_energy_ev_per_atom=-7.668 volume_a3_per_cell=110.6 sg="R-3m, No. 166" pbc="T T T"
Eu 3.645 2.104 4.804
N 0.000 0.000 0.000
Pm 1.822 1.052 1.372
Pm 5.467 3.157 8.237

# 4
10
Lattice="-3.043 7.556 1.068 -3.810 -0.508 -7.261 -8.112 1.267 -0.481" Properties=species:S:1:pos:R:3 comment="Cs2LaAgBr6, optimized geometry, DFT PBE" relative_energy_mev_per_atom=5.6 dft_energy_ev_per_atom=-3.557 volume_a3_per_cell=392.9 sg="I4/mmm, No. 139" pbc="T T T"
La 0.000 0.000 0.000
Br -9.210 5.913 -4.877
Br -5.755 2.403 -1.796
Br -3.237 5.524 -1.031
Br -1.727 1.776 -1.561
Br -3.617 1.524 -5.162
Br -5.126 5.272 -4.632
Ag -3.427 3.524 -3.097
Cs -7.291 6.174 -1.254
Cs -7.674 2.142 -5.419